La3Sn3Hg, relaxed, DFT GGA-PBE; polymorph energy (0 for the lowest one) = 244.4 meV per atom; space-group type = P6_3/m (176); calculated formation energy = -10.7 kcal/mol of atoms
1.0
9.5495 0.0000 0.0000
-4.7748 8.2701 0.0000
0.0000 0.0000 6.5086
La Sn Hg
6 6 2
Cartesian
-2.7533 5.6471 1.6271 La
1.2609 3.0621 1.6271 La
3.2823 0.4391 4.8814 La
1.4924 7.8310 1.6271 La
3.5139 5.2080 4.8814 La
7.5281 2.6230 4.8814 La
-2.8879 5.8023 4.8814 Sn
1.1937 2.8680 4.8814 Sn
3.0806 0.4002 1.6271 Sn
1.6941 7.8699 4.8814 Sn
3.5810 5.4021 1.6271 Sn
7.6626 2.4678 1.6271 Sn
0.0000 5.5134 4.8814 Hg
4.7748 2.7567 1.6271 Hg

=====

CoCu2Os, relaxed, DFT GGA-PBE; polymorph energy (0 for the lowest one) = 236.6 meV per atom; space-group type = F-43m (216); calculated formation energy = 9.5 kcal/mol of atoms
1.0
0.0000 2.9093 2.9093
2.9093 0.0000 2.9093
2.9093 2.9093 0.0000
Co Cu Os
1 2 1
Cartesian
0.0000 0.0000 0.0000 Co
2.9093 2.9093 2.9093 Cu
4.3639 4.3639 4.3639 Cu
1.4546 1.4546 1.4546 Os

=====

TbHoCoAu, relaxed, DFT GGA-PBE; space-group type = F-43m (216); calculated formation energy = -10.2 kcal/mol of atoms
1.0
0.0000 3.4868 3.4868
3.4868 0.0000 3.4868
3.4868 3.4868 0.0000
Tb Ho Co Au
1 1 1 1
Cartesian
0.0000 0.0000 0.0000 Tb
3.4868 3.4868 3.4868 Ho
5.2301 5.2301 5.2301 Co
1.7434 1.7434 1.7434 Au

=====

BeSiIr4, relaxed, DFT GGA-PBE; raw formation energy = 387 kJ/mol of formula units; space-group type = F-43m (216)
1.0
0.0000 3.6381 3.6381
3.6381 0.0000 3.6381
3.6381 3.6381 0.0000
Be Si Ir
1 1 4
Cartesian
0.0000 0.0000 0.0000 Be
1.8191 1.8191 1.8191 Si
4.5483 2.7279 2.7279 Ir
2.7279 4.5483 2.7279 Ir
2.7279 2.7279 4.5483 Ir
4.5483 4.5483 4.5483 Ir

=====

ZnSI3, relaxed, DFT GGA-PBE; polymorph energy (0 for the lowest one) = 91.3 meV per atom; raw formation energy = 216 kJ/mol of formula units; space-group type = Pm-3m (221)
1.0
5.6138 0.0000 0.0000
0.0000 5.6138 0.0000
0.0000 0.0000 5.6138
Zn S I
1 1 3
Cartesian
0.0000 0.0000 0.0000 Zn
2.8069 2.8069 2.8069 S
0.0000 0.0000 2.8069 I
0.0000 2.8069 0.0000 I
2.8069 0.0000 0.0000 I

=====

BaTmPaN3, relaxed, DFT GGA-PBE; raw formation energy = -700 kJ/mol of formula units; space-group type = P2_1/m (11)
1.0
7.4233 0.0000 0.0000
0.0000 3.5256 0.0000
-0.4314 0.0000 10.0269
Ba Tm Pa N
2 2 2 6
Cartesian
0.8798 0.8814 2.0700 Ba
6.1122 2.6442 7.9569 Ba
1.0465 0.8814 5.5518 Tm
5.9455 2.6442 4.4752 Tm
2.4463 2.6442 8.6996 Pa
4.5456 0.8814 1.3273 Pa
0.7419 2.6442 4.2403 N
1.2918 0.8814 7.9173 N
3.0821 2.6442 0.9190 N
3.9098 0.8814 9.1079 N
5.7001 2.6442 2.1096 N
6.2500 0.8814 5.7866 N

=====

BaSb2Te, relaxed, DFT GGA-PBE; raw formation energy = -204 kJ/mol of formula units; space-group type = Immm (71)
1.0
-2.2224 2.5412 5.7751
2.2224 -2.5412 5.7751
2.2224 2.5412 -5.7751
Ba Sb Te
1 2 1
Cartesian
0.0000 0.0000 0.0000 Ba
2.2224 0.0000 3.0886 Sb
0.0000 2.5412 2.6865 Sb
0.0000 0.0000 5.7751 Te

=====

Gd2ZrF, relaxed, DFT GGA-PBE; raw formation energy = -419 kJ/mol of formula units; space-group type = R-3m (166)
1.0
1.7589 1.0155 8.6278
-1.7589 1.0155 8.6278
0.0000 -2.0310 8.6278
Gd Zr F
2 1 1
Cartesian
0.0000 0.0000 6.0338 Gd
0.0000 0.0000 19.8496 Gd
0.0000 0.0000 0.0000 Zr
0.0000 0.0000 12.9417 F

=====

CaHoTm2Se4, relaxed, DFT GGA-PBE; raw formation energy = -1357 kJ/mol of formula units; space-group type = P2/m (10)
1.0
7.0384 0.0000 0.0000
0.0000 4.0496 0.0000
-2.3155 0.0000 6.6563
Ca Ho Tm Se
1 1 2 4
Cartesian
0.0000 0.0000 0.0000 Ca
-1.1578 2.0248 3.3282 Ho
2.3614 0.0000 3.3282 Tm
3.5192 2.0248 0.0000 Tm
0.0526 0.0000 4.9963 Se
1.2168 2.0248 1.6888 Se
3.5061 2.0248 4.9675 Se
4.6702 0.0000 1.6600 Se

=====

HgP2, relaxed, DFT GGA-PBE; space-group type = P2/m (10); calculated formation energy = 3.8 kcal/mol of atoms
1.0
3.2891 0.0000 0.0000
0.0000 2.7191 0.0000
-1.6251 0.0000 7.5245
Hg P
1 2
Cartesian
0.0000 0.0000 0.0000 Hg
0.0099 0.0000 4.5119 P
1.6541 0.0000 3.0126 P

=====

Sb3AuO, relaxed, DFT GGA-PBE; polymorph energy (0 for the lowest one) = 982.5 meV per atom; raw formation energy = 524 kJ/mol of formula units; space-group type = Pm-3m (221)
1.0
5.3668 0.0000 0.0000
0.0000 5.3668 0.0000
0.0000 0.0000 5.3668
Sb Au O
3 1 1
Cartesian
0.0000 0.0000 2.6834 Sb
0.0000 2.6834 0.0000 Sb
2.6834 0.0000 0.0000 Sb
0.0000 0.0000 0.0000 Au
2.6834 2.6834 2.6834 O

=====

Rb2Pm2SiO6, relaxed, DFT GGA-PBE; raw formation energy = -2620 kJ/mol of formula units; space-group type = C2/m (12)
1.0
2.9249 -4.9810 0.0000
2.9249 4.9810 0.0000
-1.6729 0.0000 6.6538
Rb Pm Si O
2 2 1 6
Cartesian
2.9249 3.3646 0.0000 Rb
2.9249 -3.3646 0.0000 Rb
2.0884 1.6453 3.3269 Pm
2.0884 -1.6453 3.3269 Pm
-0.8365 0.0000 3.3269 Si
-0.0348 1.3808 4.3558 O
0.6990 0.0000 2.2829 O
-0.0348 -1.3808 4.3558 O
4.2117 1.3808 2.2979 O
3.4779 0.0000 4.3708 O
4.2117 -1.3808 2.2979 O